[1]
VASP calculation (PBE) on a relaxed structure of CsNdNiSe3.

Unit cell a=9.273 b=4.208 c=10.870 alpha=90.00 beta=111.46 gamma=90.00
Fractional coordinates of all 12 atoms:
Cs1 0.256 0.250 0.291
Cs2 0.744 0.750 0.709
Nd1 0.686 0.250 0.138
Nd2 0.314 0.750 0.862
Ni1 0.928 0.750 0.410
Ni2 0.072 0.250 0.590
Se1 0.464 0.750 0.149
Se2 0.920 0.750 0.185
Se3 0.814 0.250 0.442
Se4 0.186 0.750 0.558
Se5 0.080 0.250 0.815
Se6 0.536 0.250 0.851

Output
SG = P2_1/m (11)
density = 4.82 Mg/m³
magnetic moment = 2.64 μB/cell
electronic total energy = -57.3 eV for the cell shown

---

[2]
VASP calculation (PBE) on a relaxed structure of CsNdNiSe3.

Unit cell a=11.712 b=4.419 c=13.089 alpha=90.00 beta=90.00 gamma=90.00
Fractional coordinates of all 24 atoms:
Cs1 0.159 0.000 0.008
Cs2 0.659 0.000 0.492
Cs3 0.341 0.500 0.508
Cs4 0.841 0.500 0.992
Nd1 0.489 0.500 0.158
Nd2 0.989 0.500 0.342
Nd3 0.011 0.000 0.658
Nd4 0.511 0.000 0.842
Ni1 0.738 0.000 0.205
Ni2 0.238 0.000 0.295
Ni3 0.762 0.500 0.705
Ni4 0.262 0.500 0.795
Se1 0.616 0.000 0.053
Se2 0.940 0.000 0.198
Se3 0.222 0.500 0.231
Se4 0.722 0.500 0.269
Se5 0.440 0.000 0.302
Se6 0.116 0.000 0.447
Se7 0.884 0.500 0.553
Se8 0.560 0.500 0.698
Se9 0.278 0.000 0.731
Se10 0.778 0.000 0.769
Se11 0.060 0.500 0.802
Se12 0.384 0.500 0.947

Output
SG = Pnma (62)
density = 5.61 Mg/m³
magnetic moment = 0.89 μB/cell
electronic total energy = -113.8 eV for the cell shown

---

[3]
VASP calculation (PBE) on a relaxed structure of CsNdNp.

Unit cell a=5.458 b=5.458 c=5.458 alpha=60.00 beta=60.00 gamma=60.00
Fractional coordinates of all 3 atoms:
Cs1 0.000 0.000 0.000
Nd1 0.750 0.750 0.750
Np1 0.250 0.250 0.250

Output
SG = F-43m (216)
density = 7.43 Mg/m³
magnetic moment = 5.26 μB/cell
excess energy over the best structure of this formula in the dataset = 0.070 eV/atom

---

[4]
VASP calculation (PBE) on a relaxed structure of CsNdNp.

Unit cell a=5.841 b=5.841 c=5.841 alpha=60.00 beta=60.00 gamma=60.00
Fractional coordinates of all 3 atoms:
Cs1 0.000 0.000 0.000
Nd1 0.250 0.250 0.250
Np1 0.500 0.500 0.500

Output
SG = F-43m (216)
density = 6.06 Mg/m³
magnetic moment = 7.67 μB/cell
excess energy over the best structure of this formula in the dataset = 0.000 eV/atom

---

[5]
VASP calculation (PBE) on a relaxed structure of CsNdPO.

Unit cell a=4.507 b=4.507 c=10.188 alpha=90.00 beta=90.00 gamma=90.00
Fractional coordinates of all 8 atoms:
Cs1 0.500 0.000 0.500
Cs2 0.000 0.500 0.500
Nd1 0.000 0.000 0.084
Nd2 0.500 0.500 0.916
O1 0.500 0.000 0.000
O2 0.000 0.500 0.000
P1 0.500 0.500 0.250
P2 0.000 0.000 0.750

Output
SG = P4/nmm (129)
density = 5.20 Mg/m³
magnetic moment = 1.99 μB/cell
excess energy over the best structure of this formula in the dataset = 0.000 eV/atom

---

[6]
VASP calculation (PBE) on a relaxed structure of CsNdP4O12.

Unit cell a=7.087 b=9.107 c=8.685 alpha=90.00 beta=99.55 gamma=90.00
Fractional coordinates of all 36 atoms:
Cs1 0.164 0.168 0.169
Cs2 0.836 0.668 0.831
Nd1 0.699 0.509 0.307
Nd2 0.301 0.009 0.693
O1 0.580 0.668 0.088
O2 0.636 0.341 0.096
O3 0.221 0.704 0.101
O4 0.982 0.533 0.176
O5 0.454 0.907 0.185
O6 0.342 0.464 0.235
O7 0.702 0.042 0.348
O8 0.864 0.282 0.372
O9 0.218 0.670 0.385
O10 0.668 0.765 0.403
O11 0.419 0.957 0.462
O12 0.041 0.052 0.484
O13 0.959 0.552 0.516
O14 0.581 0.457 0.538
O15 0.332 0.265 0.597
O16 0.782 0.170 0.615
O17 0.136 0.782 0.628
O18 0.298 0.542 0.652
O19 0.658 0.964 0.765
O20 0.546 0.407 0.815
O21 0.018 0.033 0.824
O22 0.779 0.204 0.899
O23 0.364 0.841 0.904
O24 0.420 0.168 0.912
P1 0.418 0.775 0.060
P2 0.187 0.577 0.223
P3 0.562 0.906 0.365
P4 0.861 0.140 0.455
P5 0.139 0.640 0.545
P6 0.438 0.406 0.635
P7 0.813 0.077 0.777
P8 0.582 0.275 0.940

Output
SG = P2_1 (4)
density = 3.56 Mg/m³
magnetic moment = 0.01 μB/cell
electronic total energy = -261.6 eV for the cell shown